[1]
The following is a PBE calculation of Nd2HoEr6Tm3 after structural relaxation, from Alexandria.

## Properties
ΔH_f (0 K)	0.023	eV/atom

abc: 6.117 6.117 11.690
angles: 95.00 95.00 119.95
Fractional positions:
Nd 0.167 0.833 0.000
Nd 0.833 0.167 0.000
Ho 0.500 0.500 0.000
Er 0.082 0.415 0.746
Er 0.253 0.253 0.254
Er 0.415 0.082 0.746
Er 0.585 0.918 0.254
Er 0.747 0.747 0.746
Er 0.918 0.585 0.254
Tm 0.000 0.000 0.500
Tm 0.334 0.666 0.500
Tm 0.666 0.334 0.500



[2]
The following is a PBE calculation of Ac4ZnHg3 after structural relaxation, from Alexandria.

## Properties
ΔH_f (0 K)	-0.413	eV/atom

abc: 8.989 8.989 8.989
angles: 143.24 143.24 52.97
Fractional positions:
Ac 0.122 0.622 0.500
Ac 0.378 0.878 0.500
Ac 0.622 0.122 0.500
Ac 0.878 0.378 0.500
Zn 0.000 0.000 0.000
Hg 0.249 0.249 0.000
Hg 0.500 0.500 0.000
Hg 0.751 0.751 0.000



[3]
The following is a PBE calculation of Ce4AlHg after structural relaxation, from Alexandria.

## Properties
ΔE to the lowest computed polymorph	0	meV per atom
ΔH_f (0 K)	-0.188	eV/atom

abc: 5.964 5.964 5.964
angles: 126.85 120.81 83.57
Fractional positions:
Ce 0.087 0.843 0.244
Ce 0.401 0.157 0.244
Ce 0.599 0.843 0.756
Ce 0.913 0.157 0.756
Al 0.000 0.500 0.500
Hg 0.500 0.500 0.000



[4]
The following is a PBE calculation of ReTcSF2 after structural relaxation, from Alexandria.

## Properties
ΔE to the lowest computed polymorph	479	meV per atom
uncorrected formation energy	307	kJ/mol of formula units

abc: 3.772 3.772 5.292
angles: 90.00 90.00 90.00
Fractional positions:
Re 0.000 0.000 0.000
Tc 0.500 0.500 0.000
S 0.500 0.500 0.500
F 0.000 0.500 0.500
F 0.500 0.000 0.500



[5]
The following is a PBE calculation of TlBiTe2 after structural relaxation, from Alexandria.

## Properties
uncorrected formation energy	-47	kJ/mol of formula units

abc: 7.771 7.771 7.771
angles: 115.09 115.09 98.74
Fractional positions:
Tl 0.000 0.000 0.000
Tl 0.750 0.250 0.500
Bi 0.250 0.750 0.500
Bi 0.500 0.500 0.000
Te 0.158 0.125 0.533
Te 0.375 0.842 0.967
Te 0.592 0.625 0.467
Te 0.875 0.408 0.033



[6]
The following is a PBE calculation of ZnCr2Ru after structural relaxation, from Alexandria.

## Properties
ΔH_f (0 K)	0.684	eV/atom

abc: 5.408 5.408 5.408
angles: 102.38 102.38 124.83
Fractional positions:
Zn 0.000 0.000 0.000
Zn 0.750 0.250 0.500
Cr 0.159 0.125 0.534
Cr 0.375 0.841 0.966
Cr 0.591 0.625 0.466
Cr 0.875 0.409 0.034
Ru 0.250 0.750 0.500
Ru 0.500 0.500 0.000



[7]
The following is a PBE calculation of Ce2ZrSe5 after structural relaxation, from Alexandria.

## Properties
ΔE to the lowest computed polymorph	128	meV per atom
uncorrected formation energy	-1179	kJ/mol of formula units

abc: 7.516 7.516 13.415
angles: 90.00 90.00 135.95
Fractional positions:
Ce 0.148 0.852 0.564
Ce 0.148 0.852 0.936
Ce 0.852 0.148 0.064
Ce 0.852 0.148 0.436
Zr 0.196 0.804 0.250
Zr 0.804 0.196 0.750
Se 0.050 0.950 0.124
Se 0.050 0.950 0.376
Se 0.271 0.729 0.750
Se 0.312 0.688 0.084
Se 0.312 0.688 0.416
Se 0.688 0.312 0.584
Se 0.688 0.312 0.916
Se 0.729 0.271 0.250
Se 0.950 0.050 0.624
Se 0.950 0.050 0.876



[8]
The following is a PBE calculation of NiW2Se after structural relaxation, from Alexandria.

## Properties
uncorrected formation energy	269	kJ/mol of formula units

abc: 4.436 4.436 4.436
angles: 60.00 60.00 60.00
Fractional positions:
Ni 0.000 0.000 0.000
W 0.500 0.500 0.500
W 0.750 0.750 0.750
Se 0.250 0.250 0.250



[9]
The following is a PBE calculation of FePd3Pb after structural relaxation, from Alexandria.

## Properties
ΔE to the lowest computed polymorph	0	meV per atom
ΔH_f (0 K)	0.456	eV/atom

abc: 4.694 4.694 4.694
angles: 90.00 90.00 90.00
Fractional positions:
Fe 0.000 0.000 0.000
Pd 0.000 0.000 0.500
Pd 0.000 0.500 0.000
Pd 0.500 0.000 0.000
Pb 0.500 0.500 0.500



[10]
The following is a PBE calculation of MgTcOs2 after structural relaxation, from Alexandria.

## Properties
ΔH_f (0 K)	0.367	eV/atom

abc: 2.898 4.495 4.543
angles: 90.00 90.00 90.00
Fractional positions:
Mg 0.000 0.000 0.000
Tc 0.500 0.000 0.500
Os 0.000 0.500 0.500
Os 0.500 0.500 0.000



In order of appearance, total DFT energy (no corrections) = -4.5523, -2.7397, -4.8181, -5.5009, -3.2532, -6.7647, -6.2568, -8.0949, -5.0938, -8.2377 eV per atom.
In order of appearance, size of the total moment = 0.00, 0.00, 0.28, 1.43, 0.00, 0.00, 2.05, 0.75, 4.22, 0.00 μB/f.u..
In order of appearance, V = 31.096, 32.319, 23.302, 15.056, 43.997, 14.387, 32.928, 15.426, 20.691, 14.795 Å³ per atom.